Entry 1:
A plane-wave DFT calculation with PBE was carried out for a relaxed Na3Pu2HfTe6 crystal.

Lattice parameters (Å, degrees): 7.612 7.612 7.947 99.22 99.22 120.04
Each line ends with the local moment (μB).
Fractional positions:
1 Na 0.172 0.828 0.500  0.00
2 Na 0.828 0.172 0.500  0.00
3 Na 0.500 0.500 0.500  0.00
4 Pu 0.334 0.666 0.000  5.36
5 Pu 0.666 0.334 0.000  5.36
6 Hf 0.000 0.000 0.000  0.22
7 Te 0.923 0.610 0.770  -0.06
8 Te 0.765 0.765 0.230  -0.06
9 Te 0.077 0.390 0.230  -0.06
10 Te 0.610 0.923 0.770  -0.06
11 Te 0.235 0.235 0.770  -0.06
12 Te 0.390 0.077 0.230  -0.06

Results
- N(E_F): 27.89 states/eV/f.u.
- Uncorrected formation energy: -0.980 eV/atom
- Total DFT energy (no corrections): -6.099 eV per atom

---

Entry 2:
A plane-wave DFT calculation with PBE was carried out for a relaxed Re2CS crystal.

Lattice parameters (Å, degrees): 4.027 4.027 4.027 60.00 60.00 60.00
Fractional positions:
1 Re 0.250 0.250 0.250
2 Re 0.750 0.750 0.750
3 S 0.500 0.500 0.500
4 C 0.000 0.000 0.000

Results
- Offset from the most stable computed form: 336 meV per atom
- N(E_F): 2.09 states/eV/f.u.
- Uncorrected formation energy: 0.916 eV/atom
- Total DFT energy (no corrections): -8.646 eV per atom

---

Which value of total DFT energy (no corrections) does entry 1 give?
-6.099 eV per atom

---

Which of these has the lowest total DFT energy (no corrections)?
Re2CS

---

The lowest uncorrected formation energy belongs to which entry?
Na3Pu2HfTe6